[1]
Computed, not measured: a relaxed Pm2Cu15Ge2 crystal at the PBE-GGA level of DFT.

```
Pm2Cu15Ge2
1.0
6.5482 -0.0590 -0.0525
0.7911 6.5005 -0.0525
0.7911 0.6943 6.4635
Cu Ge Pm
15 2 2
Cartesian
3.2741 -0.0295 -0.0263
3.1956 2.8048 5.4057
4.7934 0.1706 1.9336
3.1956 5.6920 2.1654
4.9347 4.3311 0.9528
2.0718 4.7057 4.1930
0.3955 3.2503 -0.0263
2.5459 0.4647 4.4774
0.3955 0.3472 3.2318
2.5459 4.5012 -0.0525
4.7934 1.9404 -0.0525
4.9347 1.4438 4.1930
6.0585 2.4302 2.1654
0.7911 2.4640 4.4774
0.7911 4.7308 1.9336
7.3126 6.4181 5.7189
0.8178 0.7177 0.6396
2.8045 2.4614 2.1933
5.3259 4.6744 4.1652
```

Formation enthalpy at 0 K ... -0.121 eV per atom
VASP energy ... -0.1595 hartree per atom


[2]
Computed, not measured: a relaxed PmCu2Ge2 crystal at the PBE-GGA level of DFT.

```
PmCu2Ge2
1.0
3.8753 0.0000 -1.4480
-0.5410 3.8374 -1.4480
0.0032 0.0037 5.9184
Cu Ge Pm
2 2 1
Cartesian
0.5647 2.8799 1.5112
2.7728 0.9612 1.5112
1.2619 1.4522 3.3772
2.0757 2.3888 -0.3547
0.0000 0.0000 0.0000
```

Formation enthalpy at 0 K ... -0.540 eV per atom
E above lowest polymorph ... 0.000 eV per atom
VASP energy ... -0.1828 hartree per atom


[3]
Computed, not measured: a relaxed PmCu6Ge4 crystal at the PBE-GGA level of DFT.

```
PmCu6Ge4
1.0
-0.3416 3.9949 -0.3858
-1.9634 0.4793 6.7008
6.7768 0.4154 -1.6992
Ge Cu Pm
4 6 1
Cartesian
2.3988 2.6385 4.1693
-0.4421 2.4644 4.8817
0.3810 2.2635 2.0727
3.8634 0.4367 1.1008
4.0484 2.6056 2.3687
-0.5172 0.2921 3.4828
2.2459 2.2706 0.4957
4.7836 2.4262 -0.1407
2.0564 0.4499 2.8375
1.3108 0.6319 5.3822
0.0000 0.0000 0.0000
```

Formation enthalpy at 0 K ... -0.169 eV per atom
VASP energy ... -0.1659 hartree per atom


[4]
Computed, not measured: a relaxed Pm2CuGe4 crystal at the PBE-GGA level of DFT.

```
Pm2CuGe4
1.0
6.1819 -0.2139 0.0000
-0.3101 6.1778 0.0000
-2.9359 -2.9820 4.1821
Ge Cu Pm
4 1 2
Cartesian
1.5244 1.7328 0.0000
4.1629 4.4127 0.0000
2.8361 3.0802 1.8889
-0.0998 0.0982 2.2932
0.2191 5.6568 0.0000
3.0179 -0.0350 2.0911
-0.2281 3.1609 2.0911
```

Formation enthalpy at 0 K ... -0.432 eV per atom
VASP energy ... -0.1842 hartree per atom


[5]
Computed, not measured: a relaxed PmCu2Ge3 crystal at the PBE-GGA level of DFT.

```
PmCu2Ge3
1.0
-2.3862 -1.8947 2.8438
-2.4009 -1.5385 -3.0396
9.6986 -8.4331 -0.5350
Cu Ge Pm
4 6 2
Cartesian
5.8354 -8.1077 -0.5056
2.4520 -5.8441 -1.8363
2.4594 -6.0222 1.1054
-0.9239 -3.7586 -0.2253
5.3826 -10.0837 0.8521
4.4398 -6.1687 -0.3847
-0.4711 -1.7826 -1.5830
0.4717 -5.6976 -0.3462
5.3752 -9.9056 -2.0896
-0.4637 -1.9607 1.3587
2.7158 -8.8156 -0.5406
2.1956 -3.0507 -0.1902
```

Formation enthalpy at 0 K ... -0.403 eV per atom
E above lowest polymorph ... 0.000 eV per atom
VASP energy ... -0.1789 hartree per atom


[6]
Computed, not measured: a relaxed PmCu2Ge2 crystal at the PBE-GGA level of DFT.

```
PmCu2Ge2
1.0
4.1799 0.0000 0.0000
0.0000 4.1799 0.0000
0.0000 0.0000 10.1193
Cu Ge Pm
4 4 2
Cartesian
0.0000 2.0899 3.7171
2.0899 2.0899 0.0000
0.0000 0.0000 0.0000
2.0899 0.0000 6.4022
0.0000 2.0899 1.3208
0.0000 0.0000 5.0597
2.0899 0.0000 8.7985
2.0899 2.0899 5.0597
0.0000 2.0899 7.6300
2.0899 0.0000 2.4893
```

Formation enthalpy at 0 K ... -0.511 eV per atom
E above lowest polymorph ... 0.029 eV per atom
VASP energy ... -0.1818 hartree per atom


[7]
Computed, not measured: a relaxed Pm2CuGe3 crystal at the PBE-GGA level of DFT.

```
Pm2CuGe3
1.0
-0.5558 -4.0376 -0.9650
4.1314 -0.3274 -1.0098
1.5129 -1.8293 6.7824
Pm Cu Ge
2 1 3
Cartesian
0.7640 -0.9238 3.4254
3.5729 -1.9860 6.2519
2.2782 -2.7754 1.2110
0.0008 -2.3558 0.7671
0.9896 -3.5514 5.1999
2.7750 -3.3761 3.4384
```

Formation enthalpy at 0 K ... -0.680 eV per atom
E above lowest polymorph ... 0.029 eV per atom
VASP energy ... -0.1931 hartree per atom


[8]
Computed, not measured: a relaxed Pm3Cu7Ge4 crystal at the PBE-GGA level of DFT.

```
Pm3Cu7Ge4
1.0
4.0984 0.0000 1.0339
1.5047 7.4410 2.6755
0.1553 0.1680 8.0244
Cu Pm Ge
7 3 4
Cartesian
2.4679 1.6396 7.4974
1.5326 4.7142 2.5646
2.6709 6.1563 6.6927
3.2905 5.9693 4.2364
4.2258 2.8947 9.1691
3.0875 1.4526 5.0411
0.0000 0.0000 0.0000
1.5767 1.5181 2.3899
4.1817 6.0908 9.3439
0.8300 3.8045 5.3499
0.7501 0.7868 5.6664
2.3189 4.0730 8.0878
3.4395 3.5359 3.6460
5.0083 6.8221 6.0674
```

Formation enthalpy at 0 K ... -0.436 eV per atom
VASP energy ... -0.1772 hartree per atom


[9]
Computed, not measured: a relaxed Pm2Cu3Ge5 crystal at the PBE-GGA level of DFT.

```
Pm2Cu3Ge5
1.0
6.1133 0.0000 0.0000
3.0566 7.8599 0.1704
3.0566 1.3807 7.7395
Ge Pm Cu
10 4 6
Cartesian
4.5850 2.2169 1.8976
10.6983 7.0237 6.0123
9.1699 7.9221 2.1364
7.6416 4.6203 3.9550
6.1133 5.9077 0.4121
4.5850 4.6203 3.9550
1.5283 2.2169 1.8976
3.0566 1.3184 5.7735
6.1133 3.3328 7.4978
7.6416 7.0237 6.0123
6.1133 7.3441 3.1036
6.1133 1.8964 4.8063
9.1699 4.1993 6.7775
3.0567 5.0413 1.1324
1.5283 0.0000 0.0000
9.1700 6.6190 4.1113
3.0566 2.6216 3.7986
4.5850 0.0000 0.0000
6.1133 4.1575 2.0043
6.1133 5.0831 5.9056
```

Formation enthalpy at 0 K ... -0.422 eV per atom
VASP energy ... -0.1804 hartree per atom


[10]
Computed, not measured: a relaxed Pm5Cu2Ge crystal at the PBE-GGA level of DFT.

```
Pm5Cu2Ge
1.0
-5.0701 2.0942 5.8415
-5.9975 -3.5906 -3.9182
6.8181 -4.7738 2.1327
Cu Pm Ge
4 10 2
Cartesian
-2.8833 -1.0876 -0.7440
-7.1546 -2.3572 -1.2369
-8.1843 -0.4089 2.6673
-3.9129 0.8608 3.1602
0.1436 -2.6234 4.8042
-8.0093 -3.2470 1.4662
1.6751 -5.1960 -0.4224
-2.3083 -1.4740 2.2640
-5.5338 -0.7482 0.9617
-4.3930 -3.6468 -0.7482
-5.9245 -1.0742 4.4784
-1.9411 -4.7962 1.7920
3.7598 -3.0232 2.5898
0.0000 0.0000 0.0000
-4.8916 -3.5092 2.5088
0.6422 -2.7610 1.5472
```

Formation enthalpy at 0 K ... -0.294 eV per atom
VASP energy ... -0.1788 hartree per atom


[11]
Computed, not measured: a relaxed PmCu3Ge3 crystal at the PBE-GGA level of DFT.

```
PmCu3Ge3
1.0
-5.9956 -0.6158 -2.6723
-2.0891 -3.1365 5.4098
-1.7766 5.7664 2.6571
Ge Cu Pm
6 6 2
Cartesian
-2.5434 -1.7222 2.0368
-2.4551 0.5308 5.3859
-5.5412 -2.0301 0.7006
-3.4419 1.1337 -0.6719
-1.4106 2.0991 2.6810
-4.3302 4.0169 0.6567
-5.3850 2.4213 -0.6757
-3.5201 -1.0920 0.0163
-4.5646 -2.6602 2.7212
-2.3872 2.7292 0.6605
-1.4887 -0.1266 3.3692
-2.3770 2.7565 4.6978
0.0000 0.0000 0.0000
-4.9306 1.0070 2.6973
```

Formation enthalpy at 0 K ... 0.054 eV per atom
E above lowest polymorph ... 0.211 eV per atom
VASP energy ... -0.1602 hartree per atom


[12]
Computed, not measured: a relaxed PmCu2Ge3 crystal at the PBE-GGA level of DFT.

```
PmCu2Ge3
1.0
-2.2821 1.6865 4.8656
-2.6843 -5.6984 0.7161
5.5480 -0.9279 2.9238
Ge Cu Pm
6 4 2
Cartesian
2.1508 -5.8752 4.6753
-1.9869 -1.5432 4.4934
2.5685 -3.3966 4.0121
-1.5692 0.9354 3.8302
0.1871 -4.7765 3.3735
0.3945 -0.1633 5.1320
-0.9113 -4.6709 1.1916
3.7750 -1.9553 2.4483
2.6339 -1.1121 4.8811
-2.0523 -3.8277 3.6244
0.3460 -1.6992 2.3814
0.2355 -3.2405 6.1241
```

Formation enthalpy at 0 K ... -0.185 eV per atom
E above lowest polymorph ... 0.218 eV per atom
VASP energy ... -0.1709 hartree per atom